The following is a DFT calculation (PBE-GGA) of a geometry-optimized NiTe2Pt structure.

Results
The total magnetic moment is 0.000 μB per atom. The calculation puts the uncorrected formation energy at -0.20 eV per atom.

a b c (Å): 6.6614 6.6614 6.6614
angles (deg): 147.26 144.80 48.83
With the nearest neighbours (Å) after each atom.
Positions (direct):
Pt (0.2500, 0.7500, 0.5000)  4 Te 2.68, 4 Ni 2.75
Te (0.8962, 0.8962, 0.0000)  2 Ni 2.58, 2 Pt 2.68
Ni (0.7500, 0.2500, 0.5000)  4 Te 2.58, 4 Pt 2.75
Te (0.6038, 0.6038, 0.0000)  2 Ni 2.58, 2 Pt 2.68

***

The following is a DFT calculation (PBE-GGA) of a geometry-optimized Ni3TePt structure.

Results
The total magnetic moment is 0.578 μB per atom. The calculation puts the uncorrected formation energy at 0.89 eV per atom.

a b c (Å): 4.6209 4.6209 4.6209
angles (deg): 90.00 90.00 90.00
With the nearest neighbours (Å) after each atom.
Positions (direct):
Ni (0.5000, 0.0000, 0.0000)  2 Pt 2.31
Ni (0.0000, 0.5000, 0.0000)  2 Pt 2.31
Pt (0.0000, 0.0000, 0.0000)  6 Ni 2.31
Te (0.5000, 0.5000, 0.5000)  12 Ni 3.27
Ni (0.0000, 0.0000, 0.5000)  2 Pt 2.31

***

The following is a DFT calculation (PBE-GGA) of a geometry-optimized NiTePt structure.

Results
The total magnetic moment is 0.000 μB per atom. The calculation puts the uncorrected formation energy at 0.02 eV per atom.

a b c (Å): 3.8311 3.8311 4.2701
angles (deg): 90.00 90.00 120.00
With the nearest neighbours (Å) after each atom.
Positions (direct):
Pt (0.3333, 0.6667, 0.3012)  3 Ni 2.54, 3 Te 2.76
Te (0.6667, 0.3333, 0.6897)  3 Ni 2.60, 3 Pt 2.76
Ni (0.0000, 0.0000, 0.0091)  3 Pt 2.54, 3 Te 2.60

***

The following is a DFT calculation (PBE-GGA) of a geometry-optimized NiTe2PtW structure.

Results
The total magnetic moment is 0.298 μB per atom. The calculation puts the uncorrected formation energy at 1.17 eV per atom.

a b c (Å): 4.8434 4.5834 4.8434
angles (deg): 90.00 90.00 90.00
With the nearest neighbours (Å) after each atom.
Positions (direct):
Ni (0.0000, 0.0000, 0.0000)  2 W 2.29, 4 Te 2.42
W (0.0000, 0.5000, 0.0000)  2 Ni 2.29
Pt (0.5000, 0.5000, 0.5000)  8 Te 3.33, 4 W 3.42
Te (0.0000, 0.0000, 0.5000)  2 Ni 2.42
Te (0.5000, 0.0000, 0.0000)  2 Ni 2.42

***

The following is a DFT calculation (PBE-GGA) of a geometry-optimized ZrNi2TePt structure.

Results
The total magnetic moment is 0.000 μB per atom. The calculation puts the uncorrected formation energy at 0.66 eV per atom.

a b c (Å): 4.5029 5.3915 4.5029
angles (deg): 90.00 90.00 90.00
With the nearest neighbours (Å) after each atom.
Positions (direct):
Te (0.0000, 0.0000, 0.0000)  4 Ni 2.25
Pt (0.5000, 0.5000, 0.5000)  4 Zr 3.18, 8 Ni 3.51
Ni (0.5000, 0.0000, 0.0000)  2 Te 2.25
Zr (0.0000, 0.5000, 0.0000)  2 Te 2.70
Ni (0.0000, 0.0000, 0.5000)  2 Te 2.25

***

The following is a DFT calculation (PBE-GGA) of a geometry-optimized ThNiPt structure.

Results
The total magnetic moment is 0.000 μB per atom. Its formation energy from the elements is -77 kJ/mol of atoms.

a b c (Å): 4.5456 5.6555 5.6555
angles (deg): 79.03 66.30 66.30
With the nearest neighbours (Å) after each atom.
Positions (direct):
Ni (0.7500, 0.5393, 0.4607)  2 Ni 2.34, 1 Pt 2.52
Th (0.5000, 0.5000, 0.0000)  2 Ni 2.79, 4 Pt 3.10
Pt (0.2500, 0.1108, 0.8892)  1 Ni 2.52, 2 Pt 2.78
Th (0.0000, 0.0000, 0.5000)  2 Ni 2.79, 4 Pt 3.10
Pt (0.7500, 0.8892, 0.1108)  1 Ni 2.52, 2 Pt 2.78
Ni (0.2500, 0.4607, 0.5393)  2 Ni 2.34, 1 Pt 2.52

***

The following is a DFT calculation (PBE-GGA) of a geometry-optimized Th3NiPt2 structure.

Results
The total magnetic moment is 0.000 μB per atom. Its formation energy from the elements is -85 kJ/mol of atoms.

a b c (Å): 4.2982 5.8796 7.0141
angles (deg): 114.78 107.84 90.00
With the nearest neighbours (Å) after each atom.
Positions (direct):
Th (0.0000, 0.0000, 0.0000)  2 Ni 2.94, 4 Pt 2.96
Th (0.6589, 0.6589, 0.3179)  2 Ni 2.87, 4 Pt 2.94-2.97
Th (0.3411, 0.3411, 0.6821)  2 Ni 2.87, 4 Pt 2.94-2.97
Pt (0.6699, 0.1699, 0.3397)  6 Th 2.94-2.97
Ni (0.0000, 0.5000, 0.0000)  6 Th 2.87-2.94
Pt (0.3301, 0.8301, 0.6603)  6 Th 2.94-2.97

***

The following is a DFT calculation (PBE-GGA) of a geometry-optimized Th3NiPt structure.

Results
The total magnetic moment is 0.000 μB per atom. Its formation energy from the elements is -25 kJ/mol of atoms.

a b c (Å): 4.7357 8.1869 7.8809
angles (deg): 121.29 90.00 90.00
With the nearest neighbours (Å) after each atom.
Positions (direct):
Ni (0.5000, 0.0877, 0.1754)  1 Ni 2.36, 2 Th 2.53
Pt (0.0000, 0.6281, 0.2562)  1 Th 2.93
Th (0.5000, 0.0000, 0.5000)  2 Ni 2.99
Pt (0.0000, 0.3719, 0.7438)  1 Th 2.93
Th (0.5000, 0.6805, 0.0000)  2 Ni 2.87, 1 Th 2.96
Th (0.5000, 0.3195, 0.0000)  2 Ni 2.87, 1 Th 2.96
Th (0.0000, 0.1545, 0.3091)  2 Ni 2.53
Ni (0.5000, 0.9123, 0.8246)  1 Ni 2.36, 2 Th 2.53
Th (0.5000, 0.5000, 0.5000)  2 Ni 2.99
Th (0.0000, 0.8455, 0.6909)  2 Ni 2.53